<P>
# Dy2Ni2Ag | the Alexandria database | PBE-GGA | relaxed
data_Dy2Ni2Ag
_chemical_formula_sum 'Dy4 Ni4 Ag2'
_symmetry_space_group_name_H-M 'P 4/m b m'
_symmetry_Int_Tables_number 127
_symmetry_space_group_name_Hall '-P 4 2ab'
_cell_length_a 7.313
_cell_length_b 7.313
_cell_length_c 3.625
_cell_angle_alpha 90.00
_cell_angle_beta 90.00
_cell_angle_gamma 90.00
loop_
_atom_site_label
_atom_site_fract_x
_atom_site_fract_y
_atom_site_fract_z
Dy1 0.176 0.324 0.000
Ni1 0.119 0.619 0.500
Ag1 0.000 0.000 0.500
# Total moment   0.00 Bohr magnetons per cell
# Calculated volume   193.85 Å³ per cell

=====

<Q>
# Dy2Ni2Ag | the Alexandria database | PBE-GGA | relaxed
data_Dy2Ni2Ag
_chemical_formula_sum 'Dy4 Ni4 Ag2'
_symmetry_space_group_name_H-M 'C m m m'
_symmetry_Int_Tables_number 65
_symmetry_space_group_name_Hall '-C 2 2'
_cell_length_a 3.939
_cell_length_b 13.854
_cell_length_c 3.613
_cell_angle_alpha 90.00
_cell_angle_beta 90.00
_cell_angle_gamma 90.00
loop_
_atom_site_label
_atom_site_fract_x
_atom_site_fract_y
_atom_site_fract_z
Dy1 0.000 0.135 0.000
Ni1 0.000 0.301 0.500
Ag1 0.000 0.500 0.500
# Total moment   0.00 Bohr magnetons per cell
# Calculated volume   197.22 Å³ per cell

=====

Quick one: most stable of them? <Q>

=====

<P>
# DyScAgOs | the Alexandria database | PBE-GGA | relaxed
data_DyScAgOs
_chemical_formula_sum 'Dy4 Sc4 Ag4 Os4'
_symmetry_space_group_name_H-M 'F -4 3 m'
_symmetry_Int_Tables_number 216
_symmetry_space_group_name_Hall 'F -4 2 3'
_cell_length_a 6.811
_cell_length_b 6.811
_cell_length_c 6.811
_cell_angle_alpha 90.00
_cell_angle_beta 90.00
_cell_angle_gamma 90.00
loop_
_atom_site_label
_atom_site_fract_x
_atom_site_fract_y
_atom_site_fract_z
Dy1 0.000 0.000 0.000
Sc1 0.000 0.000 0.500
Ag1 0.250 0.250 0.250
Os1 0.250 0.250 0.750
# Total moment   0.00 Bohr magnetons per cell
# Calculated volume   316.01 Å³ per cell

=====

<Q>
# DyScAgOs | the Alexandria database | PBE-GGA | relaxed
data_DyScAgOs
_chemical_formula_sum 'Dy1 Sc1 Ag1 Os1'
_symmetry_space_group_name_H-M 'P 4 m m'
_symmetry_Int_Tables_number 99
_symmetry_space_group_name_Hall 'P 4 -2'
_cell_length_a 3.313
_cell_length_b 3.313
_cell_length_c 7.399
_cell_angle_alpha 90.00
_cell_angle_beta 90.00
_cell_angle_gamma 90.00
loop_
_atom_site_label
_atom_site_fract_x
_atom_site_fract_y
_atom_site_fract_z
Dy1 0.000 0.000 0.000
Sc1 0.000 0.000 0.562
Ag1 0.500 0.500 0.304
Os1 0.500 0.500 0.763
# Total moment   0.00 Bohr magnetons per cell
# Calculated volume   81.20 Å³ per cell

=====

Quick one: most stable of them? <Q>

=====

<P>
# DyTmAgOs | the Alexandria database | PBE-GGA | relaxed
data_DyTmAgOs
_chemical_formula_sum 'Dy1 Tm1 Ag1 Os1'
_symmetry_space_group_name_H-M 'P 4 m m'
_symmetry_Int_Tables_number 99
_symmetry_space_group_name_Hall 'P 4 -2'
_cell_length_a 3.385
_cell_length_b 3.385
_cell_length_c 7.554
_cell_angle_alpha 90.00
_cell_angle_beta 90.00
_cell_angle_gamma 90.00
loop_
_atom_site_label
_atom_site_fract_x
_atom_site_fract_y
_atom_site_fract_z
Dy1 0.000 0.000 0.000
Tm1 0.000 0.000 0.560
Ag1 0.500 0.500 0.287
Os1 0.500 0.500 0.776
# Total moment   0.00 Bohr magnetons per cell
# Calculated volume   86.57 Å³ per cell

=====

<Q>
# DyTmAgOs | the Alexandria database | PBE-GGA | relaxed
data_DyTmAgOs
_chemical_formula_sum 'Dy4 Tm4 Ag4 Os4'
_symmetry_space_group_name_H-M 'F -4 3 m'
_symmetry_Int_Tables_number 216
_symmetry_space_group_name_Hall 'F -4 2 3'
_cell_length_a 6.951
_cell_length_b 6.951
_cell_length_c 6.951
_cell_angle_alpha 90.00
_cell_angle_beta 90.00
_cell_angle_gamma 90.00
loop_
_atom_site_label
_atom_site_fract_x
_atom_site_fract_y
_atom_site_fract_z
Dy1 0.000 0.000 0.000
Tm1 0.000 0.000 0.500
Ag1 0.250 0.250 0.750
Os1 0.250 0.250 0.250
# Total moment   0.00 Bohr magnetons per cell
# Calculated volume   335.91 Å³ per cell

=====

Quick one: most stable of them? <P>

=====

<P>
# DyAg2Pd8 | the Alexandria database | PBE-GGA | relaxed
data_DyAg2Pd8
_chemical_formula_sum 'Dy2 Ag4 Pd16'
_symmetry_space_group_name_H-M 'C 1 2/m 1'
_symmetry_Int_Tables_number 12
_symmetry_space_group_name_Hall '-C 2y'
_cell_length_a 7.415
_cell_length_b 14.098
_cell_length_c 4.921
_cell_angle_alpha 90.00
_cell_angle_beta 131.54
_cell_angle_gamma 90.00
loop_
_atom_site_label
_atom_site_fract_x
_atom_site_fract_y
_atom_site_fract_z
Dy1 0.000 0.000 0.000
Ag1 0.000 0.317 0.500
Pd1 0.000 0.194 0.000
Pd2 0.006 0.500 0.257
Pd3 0.240 0.137 0.742
# Total moment   0.00 Bohr magnetons per cell
# Calculated volume   385.08 Å³ per cell

=====

<Q>
# DyAg2Pd8 | the Alexandria database | PBE-GGA | relaxed
data_DyAg2Pd8
_chemical_formula_sum 'Dy2 Ag4 Pd16'
_symmetry_space_group_name_H-M 'C m m m'
_symmetry_Int_Tables_number 65
_symmetry_space_group_name_Hall '-C 2 2'
_cell_length_a 8.222
_cell_length_b 10.840
_cell_length_c 4.371
_cell_angle_alpha 90.00
_cell_angle_beta 90.00
_cell_angle_gamma 90.00
loop_
_atom_site_label
_atom_site_fract_x
_atom_site_fract_y
_atom_site_fract_z
Dy1 0.000 0.000 0.000
Ag1 0.000 0.378 0.500
Pd1 0.000 0.248 0.000
Pd2 0.167 0.500 0.000
Pd3 0.170 0.135 0.500
# Total moment   0.00 Bohr magnetons per cell
# Calculated volume   389.65 Å³ per cell

=====

Quick one: most stable of them? <P>

=====

<P>
# DyAgPdPt | the Alexandria database | PBE-GGA | relaxed
data_DyAgPdPt
_chemical_formula_sum 'Dy4 Ag4 Pd4 Pt4'
_symmetry_space_group_name_H-M 'F -4 3 m'
_symmetry_Int_Tables_number 216
_symmetry_space_group_name_Hall 'F -4 2 3'
_cell_length_a 6.704
_cell_length_b 6.704
_cell_length_c 6.704
_cell_angle_alpha 90.00
_cell_angle_beta 90.00
_cell_angle_gamma 90.00
loop_
_atom_site_label
_atom_site_fract_x
_atom_site_fract_y
_atom_site_fract_z
Dy1 0.000 0.000 0.000
Ag1 0.000 0.000 0.500
Pd1 0.250 0.250 0.750
Pt1 0.250 0.250 0.250
# Total moment   0.00 Bohr magnetons per cell
# Calculated volume   301.27 Å³ per cell

=====

<Q>
# DyAgPdPt | the Alexandria database | PBE-GGA | relaxed
data_DyAgPdPt
_chemical_formula_sum 'Dy1 Ag1 Pd1 Pt1'
_symmetry_space_group_name_H-M 'P m m m'
_symmetry_Int_Tables_number 47
_symmetry_space_group_name_Hall '-P 2 2'
_cell_length_a 3.994
_cell_length_b 4.194
_cell_length_c 4.363
_cell_angle_alpha 90.00
_cell_angle_beta 90.00
_cell_angle_gamma 90.00
loop_
_atom_site_label
_atom_site_fract_x
_atom_site_fract_y
_atom_site_fract_z
Dy1 0.000 0.000 0.000
Ag1 0.000 0.500 0.500
Pd1 0.500 0.000 0.500
Pt1 0.500 0.500 0.000
# Total moment   0.00 Bohr magnetons per cell
# Calculated volume   73.08 Å³ per cell

=====

Quick one: most stable of them? <Q>